# 1
## Tb2Pm2Pt3 (PBE)

Data for Tb2Pm2Pt3 after structural relaxation.

Values from the calculation:
M_tot = 0.00 μB per formula unit
Distance to the lowest polymorph of the same formula = 0 meV per atom
DFT formation energy = -1043 meV per atom
Uncorrected energy = -6.312 eV per atom
Theoretical density = 11.4 g/cm³

```
data_Tb2Pm2Pt3
_chemical_formula_sum 'Tb8 Pm8 Pt12'
_space_group_name_H-M_alt 'I 21 3'
_space_group_IT_number 199
_space_group_name_Hall 'I 2b 2c 3'
_cell_length_a 8.869
_cell_length_b 8.869
_cell_length_c 8.869
_cell_angle_alpha 90.00
_cell_angle_beta 90.00
_cell_angle_gamma 90.00
loop_
_atom_site_label
_atom_site_fract_x
_atom_site_fract_y
_atom_site_fract_z
Tb1 0.189 0.311 0.689
Pm1 0.063 0.063 0.063
Pt1 0.000 0.250 0.382
```

=====

# 2
## Sc2FeCl (PBE)

Data for Sc2FeCl after structural relaxation.

Values from the calculation:
M_tot = 1.11 μB per formula unit
Distance to the lowest polymorph of the same formula = 542 meV per atom
Uncorrected formation energy = -0.164 eV per atom
Uncorrected energy = -5.907 eV per atom
Theoretical density = 3.9 g/cm³

```
data_Sc2FeCl
_chemical_formula_sum 'Sc4 Fe2 Cl2'
_space_group_name_H-M_alt 'I m m m'
_space_group_IT_number 71
_space_group_name_Hall '-I 2 2'
_cell_length_a 3.471
_cell_length_b 5.584
_cell_length_c 7.947
_cell_angle_alpha 90.00
_cell_angle_beta 90.00
_cell_angle_gamma 90.00
loop_
_atom_site_label
_atom_site_fract_x
_atom_site_fract_y
_atom_site_fract_z
Sc1 0.000 0.000 0.247
Fe1 0.000 0.500 0.000
Cl1 0.000 0.500 0.500
```

=====

# 3
## NdPPd3 (PBE)

Data for NdPPd3 after structural relaxation.

Values from the calculation:
M_tot = 0.00 μB per formula unit
Distance to the lowest polymorph of the same formula = 542 meV per atom
DFT formation energy = -177 meV per atom
Uncorrected energy = -5.328 eV per atom
Theoretical density = 6.5 g/cm³

```
data_NdPPd3
_chemical_formula_sum 'Nd3 P3 Pd9'
_space_group_name_H-M_alt 'R 3 m'
_space_group_IT_number 160
_space_group_name_Hall 'R 3 -2"'
_cell_length_a 5.3610
_cell_length_b 5.3610
_cell_length_c 15.1562
_cell_angle_alpha 90.00
_cell_angle_beta 90.00
_cell_angle_gamma 120.00
loop_
_atom_site_label
_atom_site_fract_x
_atom_site_fract_y
_atom_site_fract_z
Nd1 0.0000 0.0000 0.0000
P1 0.0000 0.0000 0.2786
Pd1 0.0067 0.5034 0.4963
```

=====

# 4
## Sr2SbRh (PBE)

Data for Sr2SbRh after structural relaxation.

Values from the calculation:
M_tot = 0.00 μB per formula unit
Uncorrected formation energy = -0.229 eV per atom
Uncorrected energy = -3.939 eV per atom
Theoretical density = 5.4 g/cm³

```
data_Sr2SbRh
_chemical_formula_sum 'Sr6 Sb3 Rh3'
_space_group_name_H-M_alt 'R -3 m'
_space_group_IT_number 166
_space_group_name_Hall '-R 3 2"'
_cell_length_a 3.9372
_cell_length_b 3.9372
_cell_length_c 27.3378
_cell_angle_alpha 90.00
_cell_angle_beta 90.00
_cell_angle_gamma 120.00
loop_
_atom_site_label
_atom_site_fract_x
_atom_site_fract_y
_atom_site_fract_z
Sr1 0.0000 0.0000 0.2388
Sb1 0.0000 0.0000 0.0000
Rh1 0.0000 0.0000 0.5000
```

=====

# 5
## Fe6RuRh5 (PBE)

Data for Fe6RuRh5 after structural relaxation.

Values from the calculation:
M_tot = 26.00 μB per formula unit
DFT formation energy = -4 meV per atom
Uncorrected energy = -8.071 eV per atom
Theoretical density = 9.6 g/cm³

```
data_Fe6RuRh5
_chemical_formula_sum 'Fe12 Ru2 Rh10'
_space_group_name_H-M_alt 'C m m m'
_space_group_IT_number 65
_space_group_name_Hall '-C 2 2'
_cell_length_a 4.262
_cell_length_b 12.798
_cell_length_c 6.011
_cell_angle_alpha 90.00
_cell_angle_beta 90.00
_cell_angle_gamma 90.00
loop_
_atom_site_label
_atom_site_fract_x
_atom_site_fract_y
_atom_site_fract_z
Fe1 0.000 0.000 0.248
Fe2 0.000 0.334 0.249
Ru1 0.000 0.500 0.000
Rh1 0.000 0.167 0.000
Rh2 0.000 0.167 0.500
Rh3 0.000 0.500 0.500
```

=====

# 6
## CaScPb2 (PBE)

Data for CaScPb2 after structural relaxation.

Values from the calculation:
M_tot = 0.00 μB per formula unit
DFT formation energy = -173 meV per atom
Uncorrected energy = -4.111 eV per atom
Theoretical density = 7.1 g/cm³

```
data_CaScPb2
_chemical_formula_sum 'Ca1 Sc1 Pb2'
_space_group_name_H-M_alt 'P 4 m m'
_space_group_IT_number 99
_cell_length_a 4.260
_cell_length_b 4.260
_cell_length_c 6.417
_cell_angle_alpha 90.00
_cell_angle_beta 90.00
_cell_angle_gamma 90.00
loop_
_space_group_symop_operation_xyz
'x,y,z'
'-y,x,z'
'-x,-y,z'
'y,-x,z'
'-x,y,z'
'y,x,z'
'x,-y,z'
'-y,-x,z'
loop_
_atom_site_label
_atom_site_fract_x
_atom_site_fract_y
_atom_site_fract_z
Ca1 0.000 0.000 0.000
Sc1 0.500 0.500 0.680
Pb1 0.000 0.000 0.516
Pb2 0.500 0.500 0.214
```

=====

# 7
## Tb3SbSe2 (PBE)

Data for Tb3SbSe2 after structural relaxation.

Values from the calculation:
M_tot = 0.00 μB per formula unit
Distance to the lowest polymorph of the same formula = 0 meV per atom
Uncorrected formation energy = -1.568 eV per atom
Uncorrected energy = -5.732 eV per atom
Theoretical density = 8.0 g/cm³

```
data_Tb3SbSe2
_chemical_formula_sum 'Tb6 Sb2 Se4'
_space_group_name_H-M_alt 'I m m m'
_space_group_IT_number 71
_space_group_name_Hall '-I 2 2'
_cell_length_a 4.206
_cell_length_b 5.961
_cell_length_c 12.586
_cell_angle_alpha 90.00
_cell_angle_beta 90.00
_cell_angle_gamma 90.00
loop_
_atom_site_label
_atom_site_fract_x
_atom_site_fract_y
_atom_site_fract_z
Tb1 0.000 0.000 0.000
Tb2 0.000 0.000 0.326
Sb1 0.000 0.500 0.000
Se1 0.000 0.500 0.336
```

=====

# 8
## LiZr3F (PBE)

Data for LiZr3F after structural relaxation.

Values from the calculation:
M_tot = 0.00 μB per formula unit
Distance to the lowest polymorph of the same formula = 0 meV per atom
Uncorrected formation energy = -0.381 eV per atom
Uncorrected energy = -6.267 eV per atom
Theoretical density = 5.2 g/cm³

```
data_LiZr3F
_chemical_formula_sum 'Li1 Zr3 F1'
_space_group_name_H-M_alt 'P m -3 m'
_space_group_IT_number 221
_space_group_name_Hall '-P 4 2 3'
_cell_length_a 4.572
_cell_length_b 4.572
_cell_length_c 4.572
_cell_angle_alpha 90.00
_cell_angle_beta 90.00
_cell_angle_gamma 90.00
loop_
_atom_site_label
_atom_site_fract_x
_atom_site_fract_y
_atom_site_fract_z
Li1 0.000 0.000 0.000
Zr1 0.000 0.500 0.500
F1 0.500 0.500 0.500
```

=====

# 9
## NdSmAlSi (PBE)

Data for NdSmAlSi after structural relaxation.

Values from the calculation:
M_tot = 0.01 μB per formula unit
Uncorrected formation energy = -0.612 eV per atom
Uncorrected energy = -5.275 eV per atom
Theoretical density = 5.7 g/cm³

```
data_NdSmAlSi
_chemical_formula_sum 'Nd2 Sm2 Al2 Si2'
_space_group_name_H-M_alt 'A m m 2'
_space_group_IT_number 38
_cell_length_a 4.071
_cell_length_b 4.461
_cell_length_c 11.213
_cell_angle_alpha 90.00
_cell_angle_beta 90.00
_cell_angle_gamma 90.00
loop_
_space_group_symop_operation_xyz
'x,y,z'
'-x,-y,z'
'-x,y,z'
'x,-y,z'
'x,y+1/2,z+1/2'
'-x,-y+1/2,z+1/2'
'-x,y+1/2,z+1/2'
'x,-y+1/2,z+1/2'
loop_
_atom_site_label
_atom_site_fract_x
_atom_site_fract_y
_atom_site_fract_z
Nd1 0.000 0.000 0.000
Sm1 0.500 0.000 0.284
Al1 0.000 0.000 0.710
Si1 0.500 0.000 0.571
```

=====

# 10
## PuUSi2 (PBE)

Data for PuUSi2 after structural relaxation.

Values from the calculation:
M_tot = 7.49 μB per formula unit
Distance to the lowest polymorph of the same formula = 0 meV per atom
Uncorrected formation energy = -0.367 eV per atom
Uncorrected energy = -9.484 eV per atom
Theoretical density = 11.4 g/cm³

```
data_PuUSi2
_chemical_formula_sum 'Pu2 U2 Si4'
_space_group_name_H-M_alt 'C m m m'
_space_group_IT_number 65
_space_group_name_Hall '-C 2 2'
_cell_length_a 5.453
_cell_length_b 7.551
_cell_length_c 3.806
_cell_angle_alpha 90.00
_cell_angle_beta 90.00
_cell_angle_gamma 90.00
loop_
_atom_site_label
_atom_site_fract_x
_atom_site_fract_y
_atom_site_fract_z
Pu1 0.000 0.000 0.000
U1 0.000 0.500 0.000
Si1 0.250 0.250 0.500
```

=====

Number 1: D(E_F) 0.705 states/eV/atom. Number 2: D(E_F) 1.049 states/eV/atom. Number 3: D(E_F) 1.123 states/eV/atom. Number 4: D(E_F) 0.805 states/eV/atom. Number 5: D(E_F) 0.758 states/eV/atom. Number 6: D(E_F) 1.097 states/eV/atom. Number 7: D(E_F) 0.363 states/eV/atom. Number 8: D(E_F) 1.096 states/eV/atom. Number 9: D(E_F) 0.858 states/eV/atom. Number 10: D(E_F) 1.522 states/eV/atom.